Computed, not measured: a relaxed Y4ZnCd2 crystal at the PBE-GGA level of DFT.

Summary:
The calculated volume is 195.7 Å³ per cell. Its final energy is -4.306 eV per atom. The formation enthalpy at 0 K comes out at -0.169 eV/atom.

Lattice parameters (Å, degrees): 8.9152 8.9152 8.9152 33.83 33.83 33.83
Positions (direct):
1 Y 0.1237 0.1237 0.1237
2 Y 0.3748 0.3748 0.3748
3 Y 0.6252 0.6252 0.6252
4 Y 0.8763 0.8763 0.8763
5 Zn 0.5000 0.5000 0.5000
6 Cd 0.2489 0.2489 0.2489
7 Cd 0.7511 0.7511 0.7511